First-principles (GGA+U) data for MnTlPO2 after structural relaxation, as listed in Alexandria.

Results
- Excess energy over the best structure of this formula in the dataset: 0 meV per atom

Cell: 3.8262 3.8262 5.1268 Å, 90.00 90.00 90.00°
Last column: nearest neighbours and their distance in Å.
Fractional positions:
1 Mn 0.0000 0.0000 0.0000  4 O 1.91
2 Tl 0.5000 0.5000 0.5000  4 P 2.71
3 P 0.0000 0.0000 0.5000  2 Mn 2.56, 4 Tl 2.71
4 O 0.0000 0.5000 0.0000  2 Mn 1.91
5 O 0.5000 0.0000 0.0000  2 Mn 1.91